Entry 1:
The following is a PBE-GGA calculation of Na4H5Au after structural relaxation, from Alexandria.

Properties
- total DFT energy (no corrections) (eV/atom) = -2.6149
- total magnetization (μB/atom) = 0.000

Cell: 5.0391 5.7072 5.7072 Å, 78.76 63.80 63.80°
With the nearest neighbours (Å) after each atom.
Fractional coordinates of all 10 atoms:
Au  0.0840  0.0000  0.0000  1 H 1.74
H  0.0676  0.6486  0.1856  1 Au 2.10, 2 Na 2.27-2.31
H  0.7161  0.1856  0.3514  1 Au 2.10, 2 Na 2.27-2.31
H  0.9017  0.3514  0.8144  1 Au 2.10, 2 Na 2.27-2.31
H  0.4295  0.0000  0.0000  1 Au 1.74
H  0.2531  0.8144  0.6486  1 Au 2.10, 2 Na 2.27-2.31
Na  0.6206  0.5975  0.1905  4 H 2.27-2.38
Na  0.4086  0.4025  0.8095  4 H 2.27-2.38
Na  0.8111  0.8095  0.5975  4 H 2.27-2.38
Na  0.2181  0.1905  0.4025  4 H 2.27-2.38

Entry 2:
The following is a PBE-GGA calculation of NaH3Au after structural relaxation, from Alexandria.

Properties
- total DFT energy (no corrections) (eV/atom) = -3.0552
- E above lowest polymorph (kJ per mole of atoms) = 1.3
- N(E_F) (states/eV/cell) = 0.0
- total magnetization (μB/atom) = 0.000

Cell: 6.4478 3.6043 6.4477 Å, 73.79 101.24 73.80°
With the nearest neighbours (Å) after each atom.
Fractional coordinates of all 10 atoms:
Au  0.1366  0.4934  0.7847  2 H 1.65-1.66
Au  0.7144  0.9155  0.3624  2 H 1.65-1.66
H  0.5897  0.6525  0.0138  1 H 0.77
H  0.4852  0.7562  0.9093  1 H 0.77
H  0.5399  0.9238  0.5197  1 Au 1.65
H  0.2994  0.4974  0.6137  1 Au 1.66
H  0.8854  0.9117  0.1997  1 Au 1.66
H  0.9793  0.4850  0.9592  1 Au 1.65
Na  0.7115  0.2044  0.7876  10 H 2.46-2.53
Na  0.1469  0.2048  0.3522  6 H 2.35-2.42

The lowest total DFT energy (no corrections) belongs to which entry?
NaH3Au